Here is a geometry-optimized Pm4Sm2Tl structure from Alexandria via LeMat-Bulk. Energies are from PBE.

Unit cell a=5.8584 b=6.8344 c=11.7903 alpha=90.00 beta=103.48 gamma=90.00
Last column: nearest neighbours and their distance in Å.
Atoms (fractional coordinates):
Pm (0.0986, 0.2500, 0.1292)  3 Tl 3.28-3.46, 3 Sm 3.40-3.49
Pm (0.2771, 0.7500, 0.4299)  1 Tl 3.19, 4 Sm 3.30-3.48
Pm (0.3419, 0.5091, 0.7151)  4 Pm 3.29-3.68, 1 Tl 3.47, 2 Sm 3.48-3.50
Pm (0.3419, 0.9909, 0.7151)  4 Pm 3.29-3.68, 1 Tl 3.47, 2 Sm 3.48-3.50
Pm (0.6581, 0.0091, 0.2849)  4 Pm 3.29-3.68, 1 Tl 3.47, 2 Sm 3.48-3.50
Pm (0.6581, 0.4909, 0.2849)  4 Pm 3.29-3.68, 1 Tl 3.47, 2 Sm 3.48-3.50
Pm (0.7229, 0.2500, 0.5701)  1 Tl 3.19, 4 Sm 3.30-3.48
Pm (0.9014, 0.7500, 0.8708)  3 Tl 3.28-3.46, 3 Sm 3.40-3.49
Sm (0.1647, 0.2500, 0.4315)  7 Pm 3.30-3.49
Sm (0.4717, 0.7500, 0.0231)  2 Tl 3.27-3.34, 4 Pm 3.40-3.50, 2 Sm 3.49
Sm (0.5283, 0.2500, 0.9769)  2 Tl 3.27-3.34, 4 Pm 3.40-3.50, 2 Sm 3.49
Sm (0.8353, 0.7500, 0.5685)  7 Pm 3.30-3.49
Tl (0.0418, 0.7500, 0.1568)  6 Pm 3.19-3.47, 2 Sm 3.27-3.34
Tl (0.9582, 0.2500, 0.8432)  6 Pm 3.19-3.47, 2 Sm 3.27-3.34

As for the energy above the most stable polymorph in this dataset: 0.000 eV per atom. As for the symmetry: P2_1/m. As for the total energy: -4.42 eV per atom. As for the energy of formation from the pure elements: -20 meV per atom.

***

Here is a geometry-optimized Rb2LiHg2 structure from Alexandria via LeMat-Bulk. Energies are from PBE.

Unit cell a=6.6270 b=6.6270 c=6.6270 alpha=114.32 beta=114.32 gamma=100.16
Last column: nearest neighbours and their distance in Å.
Atoms (fractional coordinates):
Rb (0.2500, 0.7500, 0.5000)  4 Hg 3.65
Rb (0.7500, 0.2500, 0.5000)  4 Hg 3.65
Li (0.0000, 0.0000, 0.0000)  2 Hg 2.79
Hg (0.3281, 0.3281, 0.0000)  1 Li 2.79, 1 Hg 2.92
Hg (0.6719, 0.6719, 0.0000)  1 Li 2.79, 1 Hg 2.92

As for the energy above the most stable polymorph in this dataset: 0.094 eV per atom. As for the symmetry: I4/mmm. As for the total energy: -0.97 eV per atom. As for the energy of formation from the pure elements: -84 meV per atom.